# 1
! Dy12Tm6Al | Alexandria | GGA-PBE | relaxed; values from VASP
&SYSTEM
  ibrav = 0, nat = 19, ntyp = 3
/
ATOMIC_SPECIES
Dy 162.50 Dy.upf
Tm 168.93 Tm.upf
Al 26.98 Al.upf
ATOMIC_POSITIONS crystal
Dy 0.0384 0.2833 0.9350
Dy 0.0650 0.9616 0.7167
Dy 0.1379 0.3242 0.4853
Dy 0.2833 0.9350 0.0384
Dy 0.3242 0.4853 0.1379
Dy 0.4853 0.1379 0.3242
Dy 0.5147 0.8621 0.6758
Dy 0.6758 0.5147 0.8621
Dy 0.7167 0.0650 0.9616
Dy 0.8621 0.6758 0.5147
Dy 0.9350 0.0384 0.2833
Dy 0.9616 0.7167 0.0650
Tm 0.2163 0.5977 0.7583
Tm 0.2417 0.7837 0.4023
Tm 0.4023 0.2417 0.7837
Tm 0.5977 0.7583 0.2162
Tm 0.7583 0.2162 0.5977
Tm 0.7837 0.4023 0.2417
Al 0.5000 0.5000 0.5000
CELL_PARAMETERS angstrom
5.8577 3.3820 4.9333
-5.8577 3.3820 4.9333
0.0000 -6.7639 4.9333
! Fermi-level density of states	28.3	states/eV per cell
! ΔH_f (0 K)	2.108	kcal/mol of atoms
! M_tot	0.00	μB/cell

---

# 2
! Dy2Tm2Al3 | Alexandria | GGA-PBE | relaxed; values from VASP
&SYSTEM
  ibrav = 0, nat = 7, ntyp = 3
/
ATOMIC_SPECIES
Dy 162.50 Dy.upf
Tm 168.93 Tm.upf
Al 26.98 Al.upf
ATOMIC_POSITIONS crystal
Dy 0.2000 0.1009 0.1608
Dy 0.8000 0.8991 0.8392
Tm 0.0610 0.3801 0.7045
Tm 0.9390 0.6199 0.2955
Al 0.3374 0.8246 0.5405
Al 0.5000 0.5000 0.0000
Al 0.6626 0.1754 0.4595
CELL_PARAMETERS angstrom
3.5505 0.0000 0.0000
1.7688 5.9031 0.0000
0.0017 0.9788 8.1392
! Fermi-level density of states	6.3	states/eV per cell
! ΔH_f (0 K)	-6.447	kcal/mol of atoms
! M_tot	0.00	μB/cell
! energy above the lowest structure with this stoichiometry	0.004	eV per atom

---

# 3
! Dy3Tm2Al3 | Alexandria | GGA-PBE | relaxed; values from VASP
&SYSTEM
  ibrav = 0, nat = 8, ntyp = 3
/
ATOMIC_SPECIES
Dy 162.50 Dy.upf
Tm 168.93 Tm.upf
Al 26.98 Al.upf
ATOMIC_POSITIONS crystal
Dy 0.0000 0.0000 0.0000
Dy 0.3789 0.8789 0.5000
Dy 0.6211 0.1211 0.5000
Tm 0.2311 0.2311 0.0000
Tm 0.7689 0.7689 0.0000
Al 0.1175 0.6175 0.5000
Al 0.5000 0.5000 0.0000
Al 0.8825 0.3825 0.5000
CELL_PARAMETERS angstrom
-1.8211 2.5711 10.7161
1.8211 -2.5711 10.7161
1.8211 2.5711 -10.7161
! Fermi-level density of states	5.6	states/eV per cell
! ΔH_f (0 K)	-7.009	kcal/mol of atoms
! M_tot	0.00	μB/cell

---

# 4
! Dy6Tm12Al | Alexandria | GGA-PBE | relaxed; values from VASP
&SYSTEM
  ibrav = 0, nat = 19, ntyp = 3
/
ATOMIC_SPECIES
Dy 162.50 Dy.upf
Tm 168.93 Tm.upf
Al 26.98 Al.upf
ATOMIC_POSITIONS crystal
Dy 0.2315 0.7607 0.3883
Dy 0.2393 0.6117 0.7685
Dy 0.3883 0.2315 0.7607
Dy 0.6117 0.7685 0.2393
Dy 0.7607 0.3883 0.2315
Dy 0.7685 0.2393 0.6117
Tm 0.0250 0.2922 0.9624
Tm 0.0376 0.9750 0.7078
Tm 0.1314 0.3544 0.4510
Tm 0.2922 0.9624 0.0250
Tm 0.3544 0.4510 0.1314
Tm 0.4510 0.1314 0.3544
Tm 0.5490 0.8686 0.6456
Tm 0.6456 0.5490 0.8686
Tm 0.7078 0.0376 0.9750
Tm 0.8686 0.6456 0.5490
Tm 0.9624 0.0250 0.2922
Tm 0.9750 0.7078 0.0376
Al 0.5000 0.5000 0.5000
CELL_PARAMETERS angstrom
5.9918 3.4594 4.6507
-5.9918 3.4594 4.6507
0.0000 -6.9188 4.6507
! Fermi-level density of states	35.2	states/eV per cell
! ΔH_f (0 K)	2.446	kcal/mol of atoms
! M_tot	0.00	μB/cell